Entry 1:
Density functional theory data (PBE) for a geometry-optimized HgBi4Pd15 structure.

Computed properties:
Space group ... P4/mmm (123)
ΔH_f (0 K) ... -0.237 eV per atom

Cell: 4.127 4.127 20.550 Å, 90.00 90.00 90.00°
Sites, in units of the cell vectors:
Bi 0.000 0.000 0.192
Pd 0.500 0.000 0.701
Pd 0.500 0.500 0.202
Pd 0.500 0.500 0.400
Pd 0.500 0.500 0.600
Pd 0.500 0.000 0.902
Pd 0.500 0.000 0.500
Pd 0.000 0.500 0.701
Bi 0.000 0.000 0.602
Hg 0.000 0.000 0.000
Pd 0.500 0.000 0.299
Pd 0.000 0.500 0.500
Pd 0.500 0.500 0.798
Pd 0.000 0.500 0.098
Pd 0.500 0.000 0.098
Bi 0.000 0.000 0.808
Pd 0.500 0.500 0.000
Bi 0.000 0.000 0.398
Pd 0.000 0.500 0.299
Pd 0.000 0.500 0.902



Entry 2:
Density functional theory data (PBE) for a geometry-optimized HoRuC2 structure.

Computed properties:
Space group ... Cmcm (63)
Excess energy over the best structure of this formula in the dataset ... 0 meV/atom
ΔH_f (0 K) ... -0.209 eV per atom

Cell: 4.360 5.045 5.239 Å, 90.00 90.00 115.60°
Site moments in Bohr magnetons follow the coordinates.
Sites, in units of the cell vectors:
C 0.756 0.829 0.250  0.00
Ru 0.500 0.000 0.500  0.16
Ru 0.500 0.000 0.000  0.16
C 0.244 0.171 0.750  0.00
Ho 0.184 0.367 0.250  0.00
Ho 0.816 0.633 0.750  0.00
C 0.927 0.171 0.750  0.00
C 0.073 0.829 0.250  0.00



Entry 3:
Density functional theory data (PBE) for a geometry-optimized K3ScTl3Br8 structure.

Computed properties:
Energy relative to the elements, uncorrected ... -1.322 eV/atom
Space group ... C2/m (12)

Cell: 9.382 9.348 9.447 Å, 119.34 90.00 120.12°
Site moments in Bohr magnetons follow the coordinates.
Sites, in units of the cell vectors:
Tl 0.000 0.000 0.000  0.01
Br 0.210 0.420 0.709  0.00
Br 0.790 0.580 0.291  0.00
K 0.500 0.500 0.500  0.00
Br 0.212 0.002 0.293  0.00
Sc 0.000 0.000 0.500  0.62
Br 0.210 0.998 0.707  0.00
Br 0.790 0.002 0.293  0.00
Br 0.747 0.494 0.742  0.00
K 0.000 0.500 0.500  0.00
Tl 0.500 0.500 0.000  0.01
Br 0.253 0.506 0.258  0.00
Tl 0.000 0.500 0.000  0.01
Br 0.788 0.998 0.707  0.00
K 0.500 0.000 0.500  0.00



Entry 4:
Density functional theory data (PBE) for a geometry-optimized NaIn2CuPb structure.

Computed properties:
Space group ... P4/mmm (123)
Excess energy over the best structure of this formula in the dataset ... 6 meV/atom
ΔH_f (0 K) ... 0.102 eV per atom

Cell: 5.051 5.051 5.295 Å, 90.00 90.00 90.00°
Sites, in units of the cell vectors:
Na 0.000 0.000 0.500
Pb 0.500 0.500 0.500
In 0.500 0.000 0.000
Cu 0.000 0.000 0.000
In 0.000 0.500 0.000



Entry 5:
Density functional theory data (PBE) for a geometry-optimized V2Te4Rh structure.

Computed properties:
Energy relative to the elements, uncorrected ... -0.237 eV/atom
Space group ... Imma (74)

Cell: 7.516 7.516 8.696 Å, 54.66 54.66 74.27°
Site moments in Bohr magnetons follow the coordinates.
Sites, in units of the cell vectors:
Te 0.222 0.824 0.477  -0.08
Te 0.778 0.176 0.523  -0.08
V 0.000 0.000 0.000  1.79
V 0.500 0.000 0.500  1.88
Te 0.676 0.278 0.023  -0.08
Rh 0.757 0.743 0.750  -0.04
Te 0.324 0.722 0.977  -0.08
V 0.500 0.000 0.000  1.88
Te 0.203 0.297 0.552  -0.08
Te 0.203 0.297 0.948  -0.08
Te 0.797 0.703 0.448  -0.08
Te 0.797 0.703 0.052  -0.08
V 0.500 0.500 0.500  1.79
Rh 0.243 0.257 0.250  -0.04



Entry 6:
Density functional theory data (PBE) for a geometry-optimized KNaCd structure.

Computed properties:
Space group ... C2/m (12)
Excess energy over the best structure of this formula in the dataset ... 17 meV/atom
ΔH_f (0 K) ... -0.029 eV per atom

Cell: 5.085 5.085 11.466 Å, 90.05 90.06 59.99°
Sites, in units of the cell vectors:
Cd 0.667 0.167 0.994
Na 0.000 0.500 0.863
Na 0.000 0.500 0.137
K 0.333 0.833 0.651
K 0.667 0.167 0.349
Cd 0.333 0.833 0.006